Mg5In2Au: relaxed, PBE-GGA.

Lattice parameters (Å, degrees): 4.638 4.638 8.651 105.55 105.55 90.00
Sites, in units of the cell vectors:
Mg  0.887  0.387  0.774
Mg  0.500  0.500  0.000
Mg  0.387  0.887  0.774
Mg  0.613  0.113  0.226
Mg  0.113  0.613  0.226
In  0.745  0.745  0.490
In  0.255  0.255  0.510
Au  0.000  0.000  0.000

Computed properties:
* calculated volume: 172.2 Å³/cell
* magnetization: 0.00 μB per formula unit
* ΔH_f (0 K): -0.1859 eV/atom